Ac3Sm2PaP6: relaxed, GGA-PBE.

Calculated formation energy   -1.464 eV per atom
ρ   7.18 g cm⁻³
Calculated total energy   -162.6 eV for the cell shown

Geometry as CIF:
```
data_Ac3Sm2PaP6
_chemical_formula_sum 'Ac6 Sm4 Pa2 P12'
_symmetry_space_group_name_H-M 'C 1 2/m 1'
_symmetry_Int_Tables_number 12
_cell_length_a 7.315
_cell_length_b 12.666
_cell_length_c 7.395
_cell_angle_alpha 90.00
_cell_angle_beta 109.22
_cell_angle_gamma 90.00
loop_
_symmetry_equiv_pos_as_xyz
'x,y,z'
'-x,-y,-z'
'-x,y,-z'
'x,-y,z'
'x+1/2,y+1/2,z'
'-x+1/2,-y+1/2,-z'
'-x+1/2,y+1/2,-z'
'x+1/2,-y+1/2,z'
loop_
_atom_site_label
_atom_site_type_symbol
_atom_site_fract_x
_atom_site_fract_y
_atom_site_fract_z
Ac1 Ac 0.000 0.000 0.000
Ac2 Ac 0.000 0.331 0.000
Sm1 Sm 0.000 0.166 0.500
Pa1 Pa 0.000 0.500 0.500
P1 P 0.235 0.339 0.724
P2 P 0.246 0.500 0.274
```


Ac3Tb2PaP6: relaxed, GGA-PBE.

Calculated formation energy   -1.468 eV per atom
ρ   7.40 g cm⁻³
Calculated total energy   -162.3 eV for the cell shown

Geometry as CIF:
```
data_Ac3Tb2PaP6
_chemical_formula_sum 'Ac6 Tb4 Pa2 P12'
_symmetry_space_group_name_H-M 'C 1 2/m 1'
_symmetry_Int_Tables_number 12
_cell_length_a 7.260
_cell_length_b 12.574
_cell_length_c 7.363
_cell_angle_alpha 90.00
_cell_angle_beta 109.15
_cell_angle_gamma 90.00
loop_
_symmetry_equiv_pos_as_xyz
'x,y,z'
'-x,-y,-z'
'-x,y,-z'
'x,-y,z'
'x+1/2,y+1/2,z'
'-x+1/2,-y+1/2,-z'
'-x+1/2,y+1/2,-z'
'x+1/2,-y+1/2,z'
loop_
_atom_site_label
_atom_site_type_symbol
_atom_site_fract_x
_atom_site_fract_y
_atom_site_fract_z
Ac1 Ac 0.000 0.000 0.000
Ac2 Ac 0.000 0.331 0.000
Tb1 Tb 0.000 0.166 0.500
Pa1 Pa 0.000 0.500 0.500
P1 P 0.236 0.337 0.722
P2 P 0.250 0.000 0.723
```


Ac2ThPaP4: relaxed, GGA-PBE.

Calculated formation energy   -1.419 eV per atom
ρ   8.05 g cm⁻³
Calculated total energy   -58.1 eV for the cell shown

Geometry as CIF:
```
data_Ac2ThPaP4
_chemical_formula_sum 'Ac2 Th1 Pa1 P4'
_symmetry_space_group_name_H-M 'P 1 2/m 1'
_symmetry_Int_Tables_number 10
_cell_length_a 7.292
_cell_length_b 4.212
_cell_length_c 7.397
_cell_angle_alpha 90.00
_cell_angle_beta 109.15
_cell_angle_gamma 90.00
loop_
_symmetry_equiv_pos_as_xyz
'x,y,z'
'-x,-y,-z'
'-x,y,-z'
'x,-y,z'
loop_
_atom_site_label
_atom_site_type_symbol
_atom_site_fract_x
_atom_site_fract_y
_atom_site_fract_z
Ac1 Ac 0.000 0.000 0.000
Ac2 Ac 0.500 0.500 0.000
Th1 Th 0.000 0.500 0.500
Pa1 Pa 0.500 0.000 0.500
P1 P 0.250 0.000 0.723
P2 P 0.268 0.500 0.281
```


Ac4PPb2: relaxed, GGA-PBE.

ΔE to the lowest computed polymorph   0 meV/atom
Calculated formation energy   -0.730 eV per atom
ρ   8.81 g cm⁻³
Calculated total energy   -68.7 eV for the cell shown

Geometry as CIF:
```
data_Ac4PPb2
_chemical_formula_sum 'Ac8 P2 Pb4'
_symmetry_space_group_name_H-M 'C 1 2/m 1'
_symmetry_Int_Tables_number 12
_cell_length_a 12.927
_cell_length_b 4.868
_cell_length_c 9.514
_cell_angle_alpha 90.00
_cell_angle_beta 121.59
_cell_angle_gamma 90.00
loop_
_symmetry_equiv_pos_as_xyz
'x,y,z'
'-x,-y,-z'
'-x,y,-z'
'x,-y,z'
'x+1/2,y+1/2,z'
'-x+1/2,-y+1/2,-z'
'-x+1/2,y+1/2,-z'
'x+1/2,-y+1/2,z'
loop_
_atom_site_label
_atom_site_type_symbol
_atom_site_fract_x
_atom_site_fract_y
_atom_site_fract_z
Ac1 Ac 0.082 0.000 0.360
Ac2 Ac 0.168 0.500 0.074
P1 P 0.000 0.000 0.000
Pb1 Pb 0.134 0.500 0.663
```


Ac3PPb: relaxed, GGA-PBE.

ΔE to the lowest computed polymorph   0 meV/atom
Calculated formation energy   -0.814 eV per atom
ρ   8.40 g cm⁻³
Calculated total energy   -102.1 eV for the cell shown

Geometry as CIF:
```
data_Ac3PPb
_chemical_formula_sum 'Ac12 P4 Pb4'
_symmetry_space_group_name_H-M 'P n m a'
_symmetry_Int_Tables_number 62
_cell_length_a 9.454
_cell_length_b 4.628
_cell_length_c 16.620
_cell_angle_alpha 90.00
_cell_angle_beta 90.00
_cell_angle_gamma 90.00
loop_
_symmetry_equiv_pos_as_xyz
'x,y,z'
'-x,-y,-z'
'-x+1/2,-y,z+1/2'
'x+1/2,y,-z+1/2'
'x+1/2,-y+1/2,-z+1/2'
'-x+1/2,y+1/2,z+1/2'
'-x,y+1/2,-z'
'x,-y+1/2,z'
loop_
_atom_site_label
_atom_site_type_symbol
_atom_site_fract_x
_atom_site_fract_y
_atom_site_fract_z
Ac1 Ac 0.018 0.250 0.106
Ac2 Ac 0.159 0.250 0.524
Ac3 Ac 0.178 0.750 0.289
P1 P 0.179 0.250 0.947
Pb1 Pb 0.102 0.750 0.684
```


Ac7P5Pb: relaxed, GGA-PBE.

Calculated formation energy   -1.246 eV per atom
ρ   7.41 g cm⁻³
Calculated total energy   -302.8 eV for the cell shown

Geometry as CIF:
```
data_Ac7P5Pb
_chemical_formula_sum 'Ac28 P20 Pb4'
_symmetry_space_group_name_H-M 'C m c m'
_symmetry_Int_Tables_number 63
_symmetry_space_group_name_Hall '-C 2c 2'
_cell_length_a 4.464
_cell_length_b 14.704
_cell_length_c 26.643
_cell_angle_alpha 90.00
_cell_angle_beta 90.00
_cell_angle_gamma 90.00
loop_
_atom_site_label
_atom_site_type_symbol
_atom_site_fract_x
_atom_site_fract_y
_atom_site_fract_z
Ac1 Ac 0.000 0.027 0.250
Ac2 Ac 0.000 0.136 0.534
Ac3 Ac 0.000 0.323 0.171
Ac4 Ac 0.000 0.410 0.604
P1 P 0.000 0.045 0.642
P2 P 0.000 0.227 0.072
P3 P 0.000 0.500 0.000
Pb1 Pb 0.000 0.298 0.750
```


Ac8PPb5: relaxed, GGA-PBE.

Calculated formation energy   -0.628 eV per atom
ρ   9.10 g cm⁻³
Calculated total energy   -131.2 eV for the cell shown

Geometry as CIF:
```
data_Ac8PPb5
_chemical_formula_sum 'Ac16 P2 Pb10'
_symmetry_space_group_name_H-M 'I -4'
_symmetry_Int_Tables_number 82
_cell_length_a 10.119
_cell_length_b 10.119
_cell_length_c 10.270
_cell_angle_alpha 90.00
_cell_angle_beta 90.00
_cell_angle_gamma 90.00
loop_
_symmetry_equiv_pos_as_xyz
'x,y,z'
'y,-x,-z'
'-x,-y,z'
'-y,x,-z'
'x+1/2,y+1/2,z+1/2'
'y+1/2,-x+1/2,-z+1/2'
'-x+1/2,-y+1/2,z+1/2'
'-y+1/2,x+1/2,-z+1/2'
loop_
_atom_site_label
_atom_site_type_symbol
_atom_site_fract_x
_atom_site_fract_y
_atom_site_fract_z
Ac1 Ac 0.066 0.200 0.302
Ac2 Ac 0.071 0.320 0.943
P1 P 0.000 0.500 0.250
Pb1 Pb 0.000 0.000 0.000
Pb2 Pb 0.122 0.248 0.624
```


Ac3PPb: relaxed, GGA-PBE.

ΔE to the lowest computed polymorph   180 meV/atom
Calculated formation energy   -0.634 eV per atom
ρ   7.72 g cm⁻³
Calculated total energy   -24.6 eV for the cell shown

Geometry as CIF:
```
data_Ac3PPb
_chemical_formula_sum 'Ac3 P1 Pb1'
_symmetry_space_group_name_H-M 'P m -3 m'
_symmetry_Int_Tables_number 221
_symmetry_space_group_name_Hall '-P 4 2 3'
_cell_length_a 5.825
_cell_length_b 5.825
_cell_length_c 5.825
_cell_angle_alpha 90.00
_cell_angle_beta 90.00
_cell_angle_gamma 90.00
loop_
_atom_site_label
_atom_site_type_symbol
_atom_site_fract_x
_atom_site_fract_y
_atom_site_fract_z
Ac1 Ac 0.000 0.000 0.500
P1 P 0.000 0.000 0.000
Pb1 Pb 0.500 0.500 0.500
```


Question: What is the formula in the first record?
Answer: Ac3Sm2PaP6